# 1
! PBE-GGA Rb3MgCd2Cl9, optimized geometry; values from VASP
&SYSTEM
  ibrav = 0, nat = 15, ntyp = 4
/
ATOMIC_SPECIES
Cl 35.45 Cl.upf
Cd 112.41 Cd.upf
Rb 85.47 Rb.upf
Mg 24.30 Mg.upf
CELL_PARAMETERS angstrom
7.3592 0.0000 0.0000
-3.6796 6.3732 0.0000
0.0000 0.0000 9.0316
ATOMIC_POSITIONS angstrom
Cl -1.8398 3.1866 0.0000
Cl 3.6796 0.0000 0.0000
Cl 1.8899 5.3400 3.0633
Cd 0.0000 4.2488 1.5681
Rb 0.0000 4.2488 6.0306
Cl 0.0000 2.0666 3.0633
Cl 5.5695 1.0333 5.9683
Cl 1.7897 1.0333 5.9683
Cl -1.8899 5.3400 3.0633
Cl 3.6796 4.3067 5.9683
Cd 3.6796 2.1244 7.4635
Rb 3.6796 2.1244 3.0009
Cl 1.8398 3.1866 0.0000
Rb 0.0000 0.0000 0.0000
Mg 0.0000 0.0000 4.5158
! Space-group type: P-3m1
! N(E_F) in states/eV/atom: 0.00

---

# 2
! PBE-GGA Cs2HoNpO6, optimized geometry; values from VASP
&SYSTEM
  ibrav = 0, nat = 20, ntyp = 4
/
ATOMIC_SPECIES
O 16.00 O.upf
Ho 164.93 Ho.upf
Cs 132.91 Cs.upf
Np 237.00 Np.upf
CELL_PARAMETERS angstrom
-2.5295 0.2739 -5.9630
-2.3504 -5.3677 -2.7738
-11.0043 0.3051 1.1578
ATOMIC_POSITIONS angstrom
O -9.8088 -2.8322 -4.4591
O -11.9963 -3.6118 -2.1256
O -7.1099 -1.8446 -5.5586
Ho -5.1489 -2.9910 -5.0018
O -10.7159 -0.6877 -0.6145
Ho -10.7353 -1.7978 -2.5772
O -12.0939 -0.5385 -3.8629
O -5.1683 -4.1011 -6.9644
Cs -8.5692 -4.3058 -7.1356
O -3.8879 -1.1770 -5.4534
O -7.0367 -4.1518 -4.2543
Cs -12.6350 -3.4374 -5.3709
Cs -3.2492 -1.3514 -2.2080
Cs -7.3151 -0.4829 -0.4434
O -6.0754 -1.9566 -3.1199
Np -7.9421 -2.3944 -3.7895
O -3.7903 -4.2503 -3.7160
O -8.8476 -0.6369 -3.3247
O -8.7743 -2.9442 -2.0204
Np 0.0000 0.0000 0.0000
! Space-group type: R-3m

---

Number 1: M_tot 0.00 μB/cell, total DFT energy (no corrections) -46.8 eV for the cell shown. Number 2: M_tot 0.00 μB/cell, total DFT energy (no corrections) -150.0 eV for the cell shown.